Compound: ScGa4Ag7
Source: Alexandria
Functional: GGA-PBE
Structure: optimized geometry

The space group is C2/m (No. 12) and the conventional cell measures 11.1245, 5.0985 and 9.6904 Å, with angles of 90.00, 123.03 and 90.00 degrees. The distinct sites, in fractional coordinates, are Sc at (0.0000, 0.0000, 0.0000), Ga at (0.0756, 0.5000, 0.7744), Ga at (0.2103, 0.5000, 0.3173), Ag at (0.0000, 0.5000, 0.0000), Ag at (0.0560, 0.0000, 0.3781), Ag at (0.1610, 0.5000, 0.5704) and Ag at (0.2132, 0.0000, 0.9078).

The theoretical density is 7.777 Mg/m³. As for the total energy: -3.12 eV per atom.